KTl3V2F9: optimized geometry, PBE+U.

```
15
Lattice="6.194 0.000 0.000 -3.097 5.364 0.000 0.000 0.000 7.784" Properties=species:S:1:pos:R:3 pbc="T T T"
K 0.000 0.000 0.000
Tl 0.000 0.000 3.892
Tl 0.000 3.576 1.246
Tl 3.097 1.788 6.538
V 0.000 3.576 5.018
V 3.097 1.788 2.766
F -1.548 2.682 3.892
F 0.000 1.950 6.178
F -1.409 4.389 6.178
F 1.688 0.975 1.606
F 3.097 0.000 3.892
F 1.548 2.682 3.892
F 1.409 4.389 6.178
F 4.505 0.975 1.606
F 3.097 3.414 1.606
```

Summary:
**V**: 17.2 A^3/atom
**Total magnetic moment**: 0.33 μB per atom
**Total DFT energy (no corrections)**: -75.62 eV/cell